(1)
ScInPd2C | meta-GGA SCAN | PBEsol geometry

The structure in POSCAR format:
```
ScInPd2C
1.0
4.0617 0.0000 0.0000
0.0000 4.9105 0.0000
0.0000 0.0000 4.9105
Sc C Pd In
1 1 2 1
Direct
0.5000 0.5000 0.5000 Sc
0.5000 0.0000 0.0000 C
0.0000 0.0000 0.5000 Pd
0.0000 0.5000 0.0000 Pd
0.0000 0.0000 0.0000 In
```

Output
For the calculated density, the calculation gives 6.521 g/cm³. As for the total energy: -23.646 eV/atom. As for the space group: P4/mmm, No. 123. For the energy of formation, the calculation gives 1.009 eV per atom.


(2)
Pr3InC | meta-GGA SCAN | PBEsol geometry

The structure in POSCAR format:
```
Pr3InC
1.0
5.7317 0.0000 0.0000
0.0000 5.7317 0.0000
0.0000 0.0000 5.7317
Pr In C
3 1 1
Direct
0.5000 0.0000 0.5000 Pr
0.5000 0.5000 0.0000 Pr
0.0000 0.5000 0.5000 Pr
0.5000 0.5000 0.5000 In
0.0000 0.0000 0.0000 C
```

Output
For the calculated density, the calculation gives 4.846 g/cm³. As for the total energy: -33.197 eV/atom. As for the space group: Pm-3m, No. 221. For the energy of formation, the calculation gives 1.495 eV per atom.


(3)
InPtC2 | meta-GGA SCAN | PBEsol geometry

The structure in POSCAR format:
```
InPtC2
1.0
4.9206 0.0000 0.0000
0.0000 4.9206 0.0000
-2.4603 -2.4603 4.8172
C Pt In
4 2 2
Direct
0.3300 0.8750 0.2500 C
0.9200 0.3750 0.2500 C
0.1250 0.0800 0.7500 C
0.6250 0.6700 0.7500 C
0.2500 0.7500 0.5000 Pt
0.0000 0.0000 0.0000 Pt
0.7500 0.2500 0.5000 In
0.5000 0.5000 0.0000 In
```

Output
For the calculated density, the calculation gives 9.508 g/cm³. As for the total energy: -29.834 eV/atom. As for the space group: I-42d, No. 122. For the energy of formation, the calculation gives 1.111 eV per atom.


(4)
InPt2C2 | meta-GGA SCAN | PBEsol geometry

The structure in POSCAR format:
```
InPt2C2
1.0
-2.3244 -2.6137 -0.5227
0.1613 -0.8303 3.4340
-3.5427 5.6031 -0.3000
C Pt In
2 2 1
Direct
0.2500 0.7500 0.5000 C
0.7500 0.2500 0.5000 C
0.3332 0.3332 0.6664 Pt
0.6668 0.6668 0.3336 Pt
0.0000 0.0000 0.0000 In
```

Output
For the calculated density, the calculation gives 11.426 g/cm³. As for the total energy: -37.776 eV/atom. As for the space group: I4/mmm, No. 139. For the energy of formation, the calculation gives 1.018 eV per atom.